# 1
Density functional theory data (PBE-GGA) for a relaxed Sc4InRu2Au crystal.

Values from the calculation:
symmetry = No. 166
DFT formation energy = -0.56 eV per atom

POSCAR file:
```
Sc4InRu2Au
1.0
2.3575 1.3611 7.7278
-2.3575 1.3611 7.7278
0.0000 -2.7222 7.7278
Sc In Ru Au
4 1 2 1
Direct
0.1218 0.1218 0.1218
0.3724 0.3724 0.3724
0.6276 0.6276 0.6276
0.8782 0.8782 0.8782
0.5000 0.5000 0.5000
0.2488 0.2488 0.2488
0.7512 0.7512 0.7512
0.0000 0.0000 0.0000
```


# 2
Density functional theory data (PBE-GGA) for a relaxed ScIn2RuAu crystal.

Values from the calculation:
symmetry = No. 123
DFT formation energy = 0.89 eV per atom

POSCAR file:
```
ScIn2RuAu
1.0
5.5992 0.0000 0.0000
0.0000 5.5992 0.0000
0.0000 0.0000 4.5575
Sc In Ru Au
1 2 1 1
Direct
0.0000 0.0000 0.0000
0.0000 0.5000 0.0000
0.5000 0.0000 0.0000
0.0000 0.0000 0.5000
0.5000 0.5000 0.5000
```


# 3
Density functional theory data (PBE-GGA) for a relaxed TaInRu2Au crystal.

Values from the calculation:
symmetry = No. 123
DFT formation energy = 1.96 eV per atom

POSCAR file:
```
TaInRu2Au
1.0
4.8684 0.0000 0.0000
0.0000 4.8684 0.0000
0.0000 0.0000 4.7728
Ta In Ru Au
1 1 2 1
Direct
0.0000 0.0000 0.0000
0.5000 0.5000 0.0000
0.0000 0.5000 0.5000
0.5000 0.0000 0.5000
0.5000 0.5000 0.5000
```